Entry from the Alexandria database: an optimized crystal structure of LuNbOsPd (PBE-GGA).

Unit cell a=4.651 b=4.651 c=4.651 alpha=60.00 beta=60.00 gamma=60.00
Sites, in units of the cell vectors:
Lu 0.000 0.000 0.000
Nb 0.500 0.500 0.500
Os 0.250 0.250 0.250
Pd 0.750 0.750 0.750

Results
Energy   -32.417 eV/cell
M_tot   0.00 Bohr magnetons per cell
Calculated formation energy   -135 kJ/mol of formula units

---

Entry from the Alexandria database: an optimized crystal structure of LuNbOsRh (PBE-GGA).

Unit cell a=4.613 b=4.613 c=4.613 alpha=60.00 beta=60.00 gamma=60.00
Sites, in units of the cell vectors:
Lu 0.000 0.000 0.000
Nb 0.500 0.500 0.500
Os 0.250 0.250 0.250
Rh 0.750 0.750 0.750

Results
Energy   -34.880 eV/cell
M_tot   0.00 Bohr magnetons per cell
Calculated formation energy   -165 kJ/mol of formula units

---

Entry from the Alexandria database: an optimized crystal structure of LuNbOsRu (PBE-GGA).

Unit cell a=4.593 b=4.593 c=4.593 alpha=60.00 beta=60.00 gamma=60.00
Sites, in units of the cell vectors:
Lu 0.000 0.000 0.000
Nb 0.500 0.500 0.500
Os 0.750 0.750 0.750
Ru 0.250 0.250 0.250

Results
Energy   -36.581 eV/cell
M_tot   0.00 Bohr magnetons per cell
Calculated formation energy   -143 kJ/mol of formula units

---

Entry from the Alexandria database: an optimized crystal structure of LuPaNb (PBE-GGA).

Unit cell a=6.172 b=6.172 c=6.172 alpha=146.75 beta=146.75 gamma=47.74
Sites, in units of the cell vectors:
Lu 0.000 0.000 0.000
Pa 0.308 0.308 0.000
Nb 0.678 0.678 0.000

Results
Energy   -23.514 eV/cell
M_tot   0.00 Bohr magnetons per cell
Calculated formation energy   55 kJ/mol of formula units

---

Entry from the Alexandria database: an optimized crystal structure of LuPa2Nb (PBE-GGA).

Unit cell a=10.262 b=10.262 c=10.262 alpha=18.73 beta=18.73 gamma=18.73
Sites, in units of the cell vectors:
Lu 0.000 0.000 0.000
Pa 0.243 0.243 0.243
Pa 0.757 0.757 0.757
Nb 0.500 0.500 0.500

Results
Energy   -32.428 eV/cell
M_tot   0.00 Bohr magnetons per cell
Calculated formation energy   111 kJ/mol of formula units

---

Entry from the Alexandria database: an optimized crystal structure of LuPa2Nb (PBE-GGA).

Unit cell a=3.441 b=3.441 c=8.376 alpha=90.00 beta=90.00 gamma=90.00
Sites, in units of the cell vectors:
Lu 0.000 0.000 0.000
Pa 0.500 0.500 0.283
Pa 0.500 0.500 0.717
Nb 0.000 0.000 0.500

Results
Energy   -32.611 eV/cell
M_tot   0.00 Bohr magnetons per cell
Calculated formation energy   94 kJ/mol of formula units

---

Entry from the Alexandria database: an optimized crystal structure of LuPaNbTc (PBE-GGA).

Unit cell a=4.873 b=4.873 c=4.873 alpha=60.00 beta=60.00 gamma=60.00
Sites, in units of the cell vectors:
Lu 0.000 0.000 0.000
Pa 0.500 0.500 0.500
Nb 0.250 0.250 0.250
Tc 0.750 0.750 0.750

Results
Energy   -34.397 eV/cell
M_tot   0.00 Bohr magnetons per cell
Calculated formation energy   5 kJ/mol of formula units

---

Entry from the Alexandria database: an optimized crystal structure of PmLu2Nb (PBE-GGA).

Unit cell a=11.763 b=11.763 c=11.763 alpha=15.99 beta=15.99 gamma=15.99
Sites, in units of the cell vectors:
Pm 0.000 0.000 0.000
Lu 0.418 0.418 0.418
Lu 0.582 0.582 0.582
Nb 0.500 0.500 0.500

Results
Energy   -21.749 eV/cell
M_tot   0.63 Bohr magnetons per cell
Calculated formation energy   204 kJ/mol of formula units

---

Entry from the Alexandria database: an optimized crystal structure of Lu2PuNb (PBE-GGA).

Unit cell a=5.185 b=5.185 c=5.185 alpha=60.00 beta=60.00 gamma=60.00
Sites, in units of the cell vectors:
Lu 0.250 0.250 0.250
Lu 0.750 0.750 0.750
Pu 0.000 0.000 0.000
Nb 0.500 0.500 0.500

Results
Energy   -32.246 eV/cell
M_tot   4.66 Bohr magnetons per cell
Calculated formation energy   116 kJ/mol of formula units

---

Entry from the Alexandria database: an optimized crystal structure of LuNbRe4 (PBE-GGA).

Unit cell a=5.284 b=5.284 c=5.284 alpha=60.00 beta=60.00 gamma=60.00
Sites, in units of the cell vectors:
Lu 0.000 0.000 0.000
Nb 0.750 0.750 0.750
Re 0.375 0.375 0.375
Re 0.375 0.375 0.875
Re 0.375 0.875 0.375
Re 0.875 0.375 0.375

Results
Energy   -65.249 eV/cell
M_tot   0.00 Bohr magnetons per cell
Calculated formation energy   -84 kJ/mol of formula units

---

Entry from the Alexandria database: an optimized crystal structure of LuNbReRu (PBE-GGA).

Unit cell a=4.606 b=4.606 c=4.606 alpha=60.00 beta=60.00 gamma=60.00
Sites, in units of the cell vectors:
Lu 0.000 0.000 0.000
Nb 0.500 0.500 0.500
Re 0.250 0.250 0.250
Ru 0.750 0.750 0.750

Results
Energy   -37.117 eV/cell
M_tot   0.00 Bohr magnetons per cell
Calculated formation energy   -77 kJ/mol of formula units

---

Entry from the Alexandria database: an optimized crystal structure of LuNbReTc (PBE-GGA).

Unit cell a=4.623 b=4.623 c=4.623 alpha=60.00 beta=60.00 gamma=60.00
Sites, in units of the cell vectors:
Lu 0.000 0.000 0.000
Nb 0.500 0.500 0.500
Re 0.250 0.250 0.250
Tc 0.750 0.750 0.750

Results
Energy   -37.655 eV/cell
M_tot   0.00 Bohr magnetons per cell
Calculated formation energy   -24 kJ/mol of formula units

---

Entry from the Alexandria database: an optimized crystal structure of LuNbRh2 (PBE-GGA).

Unit cell a=4.628 b=4.628 c=4.628 alpha=60.00 beta=60.00 gamma=60.00
Sites, in units of the cell vectors:
Lu 0.000 0.000 0.000
Nb 0.500 0.500 0.500
Rh 0.250 0.250 0.250
Rh 0.750 0.750 0.750

Results
Energy   -31.499 eV/cell
M_tot   0.01 Bohr magnetons per cell
Calculated formation energy   -213 kJ/mol of formula units

---

Entry from the Alexandria database: an optimized crystal structure of LuNbRh2 (PBE-GGA).

Unit cell a=3.110 b=3.110 c=7.226 alpha=90.00 beta=90.00 gamma=90.00
Sites, in units of the cell vectors:
Lu 0.000 0.000 0.000
Nb 0.000 0.000 0.500
Rh 0.500 0.500 0.265
Rh 0.500 0.500 0.735

Results
Energy   -31.710 eV/cell
M_tot   0.00 Bohr magnetons per cell
Calculated formation energy   -233 kJ/mol of formula units